No. 1
VASP calculation (PBE-GGA) on an optimized crystal structure of Sc2TiC.

Results
**D(E_F)**: 0.590 states/eV per atom
**ΔH_f (0 K)**: -14 meV/atom

Unit cell a=8.399 b=8.399 c=6.292 alpha=48.13 beta=48.13 gamma=90.00
Fractional coordinates of all 8 atoms:
Sc 0.375 0.520 0.750
Sc 0.270 0.625 0.250
Sc 0.875 0.730 0.750
Sc 0.480 0.125 0.250
Ti 0.750 0.250 0.500
Ti 0.000 0.000 0.000
C 0.250 0.750 0.500
C 0.500 0.500 0.000

=====

No. 2
VASP calculation (PBE-GGA) on an optimized crystal structure of K4U3ZnO12.

Results
**Total DFT energy (no corrections)**: -0.279 Ha/atom
**D(E_F)**: 0.000 states/eV per atom

Unit cell a=7.396 b=7.396 c=7.396 alpha=109.47 beta=109.47 gamma=109.47
Fractional coordinates of all 20 atoms:
O 0.734 0.000 0.734
O 0.750 0.250 0.500
O 0.250 0.750 0.500
O 0.500 0.750 0.250
O 0.500 0.250 0.750
O 0.000 0.734 0.734
O 0.000 0.266 0.266
O 0.266 0.266 0.000
O 0.250 0.500 0.750
O 0.266 0.000 0.266
O 0.750 0.500 0.250
O 0.734 0.734 0.000
K 0.000 0.000 0.500
K 0.500 0.500 0.500
K 0.000 0.500 0.000
K 0.500 0.000 0.000
U 0.500 0.500 0.000
U 0.500 0.000 0.500
U 0.000 0.500 0.500
Zn 0.000 0.000 0.000

=====

No. 3
VASP calculation (PBE-GGA) on an optimized crystal structure of TlCuPd2.

Results
**D(E_F)**: 0.704 states/eV per atom
**ΔH_f (0 K)**: 227 meV/atom

Unit cell a=5.987 b=5.987 c=5.987 alpha=54.69 beta=152.08 gamma=133.99
Fractional coordinates of all 4 atoms:
Pd 0.000 0.763 0.763
Pd 0.000 0.237 0.237
Cu 0.000 0.000 0.000
Tl 0.000 0.500 0.500

=====

No. 4
VASP calculation (PBE-GGA) on an optimized crystal structure of BiTeS2.

Results
**D(E_F)**: 0.641 states/eV per atom
**E above lowest polymorph**: 241 meV per atom

Unit cell a=7.614 b=7.614 c=6.432 alpha=53.71 beta=53.71 gamma=90.00
Fractional coordinates of all 8 atoms:
S 0.126 0.625 0.250
S 0.875 0.874 0.750
S 0.375 0.376 0.750
S 0.624 0.125 0.250
Bi 0.000 0.000 0.000
Bi 0.750 0.250 0.500
Te 0.500 0.500 0.000
Te 0.250 0.750 0.500

=====

No. 5
VASP calculation (PBE-GGA) on an optimized crystal structure of Ba4AgIr.

Results
**D(E_F)**: 0.931 states/eV per atom
**E above lowest polymorph**: 1044 meV per atom
**ΔH_f (0 K)**: 886 meV/atom

Unit cell a=6.801 b=6.801 c=6.801 alpha=60.00 beta=60.00 gamma=60.00
Fractional coordinates of all 6 atoms:
Ba 0.376 0.872 0.376
Ba 0.872 0.376 0.376
Ba 0.376 0.376 0.376
Ba 0.376 0.376 0.872
Ag 0.000 0.000 0.000
Ir 0.750 0.750 0.750

=====

No. 6
VASP calculation (PBE-GGA) on an optimized crystal structure of Ti6InGa.

Results
**D(E_F)**: 1.157 states/eV per atom
**ΔH_f (0 K)**: -211 meV/atom

Unit cell a=4.093 b=4.093 c=8.175 alpha=90.00 beta=90.00 gamma=90.00
Fractional coordinates of all 8 atoms:
Ti 0.000 0.500 0.739
Ti 0.000 0.500 0.261
Ti 0.500 0.500 0.000
Ti 0.500 0.500 0.500
Ti 0.500 0.000 0.739
Ti 0.500 0.000 0.261
In 0.000 0.000 0.000
Ga 0.000 0.000 0.500

=====

No. 7
VASP calculation (PBE-GGA) on an optimized crystal structure of RbMg14Cu.

Results
**D(E_F)**: 0.340 states/eV per atom
**E above lowest polymorph**: 0 meV per atom
**ΔH_f (0 K)**: 144 meV/atom

Unit cell a=6.554 b=6.554 c=10.602 alpha=90.00 beta=90.00 gamma=121.95
Fractional coordinates of all 16 atoms:
Mg 0.827 0.657 0.000
Mg 0.680 0.320 0.279
Mg 0.168 0.321 0.244
Mg 0.679 0.832 0.244
Mg 0.811 0.697 0.500
Mg 0.834 0.166 0.000
Mg 0.303 0.189 0.500
Mg 0.164 0.836 0.771
Mg 0.343 0.173 0.000
Mg 0.164 0.836 0.229
Mg 0.679 0.832 0.756
Mg 0.337 0.663 0.000
Mg 0.680 0.320 0.721
Mg 0.168 0.321 0.756
Rb 0.305 0.695 0.500
Cu 0.859 0.141 0.500

=====

No. 8
VASP calculation (PBE-GGA) on an optimized crystal structure of TbLuAgPd.

Results
**D(E_F)**: 0.888 states/eV per atom
**ΔH_f (0 K)**: -607 meV/atom

Unit cell a=5.009 b=5.009 c=5.009 alpha=60.00 beta=60.00 gamma=60.00
Fractional coordinates of all 4 atoms:
Pd 0.750 0.750 0.750
Lu 0.500 0.500 0.500
Ag 0.250 0.250 0.250
Tb 0.000 0.000 0.000

=====

No. 9
VASP calculation (PBE-GGA) on an optimized crystal structure of LaHo2TiN4.

Results
**Total DFT energy (no corrections)**: -0.310 Ha/atom
**D(E_F)**: 0.373 states/eV per atom

Unit cell a=3.434 b=6.188 c=11.844 alpha=90.00 beta=90.00 gamma=106.11
Fractional coordinates of all 16 atoms:
N 0.262 0.524 0.378
N 0.000 0.000 0.000
N 0.426 0.852 0.750
N 0.574 0.148 0.250
N 0.262 0.524 0.122
N 0.738 0.476 0.878
N 0.738 0.476 0.622
N 0.000 0.000 0.500
Ho 0.371 0.741 0.540
Ho 0.629 0.259 0.040
Ho 0.371 0.741 0.960
Ho 0.629 0.259 0.460
La 0.095 0.189 0.750
La 0.905 0.811 0.250
Ti 0.168 0.336 0.250
Ti 0.832 0.664 0.750

=====

No. 10
VASP calculation (PBE-GGA) on an optimized crystal structure of CuSiSe2.

Results
**Total DFT energy (no corrections)**: -0.145 Ha/atom
**D(E_F)**: 0.274 states/eV per atom

Unit cell a=5.706 b=5.706 c=4.171 alpha=57.57 beta=57.57 gamma=75.59
Fractional coordinates of all 4 atoms:
Se 0.000 0.000 0.000
Se 0.500 0.500 0.000
Si 0.500 0.000 0.500
Cu 0.000 0.500 0.500

=====

No. 11
VASP calculation (PBE-GGA) on an optimized crystal structure of Nb3VOs2.

Results
**D(E_F)**: 0.386 states/eV per atom
**ΔH_f (0 K)**: -234 meV/atom

Unit cell a=3.160 b=4.516 c=13.534 alpha=90.00 beta=90.00 gamma=90.00
Fractional coordinates of all 12 atoms:
Nb 0.500 0.500 0.000
Nb 0.500 0.000 0.500
Nb 0.500 0.500 0.337
Nb 0.500 0.500 0.663
Nb 0.500 0.000 0.837
Nb 0.500 0.000 0.163
Os 0.000 0.000 0.332
Os 0.000 0.000 0.668
Os 0.000 0.500 0.168
Os 0.000 0.500 0.832
V 0.000 0.500 0.500
V 0.000 0.000 0.000

=====

No. 12
VASP calculation (PBE-GGA) on an optimized crystal structure of Rb2CaH6Ir.

Results
**Total DFT energy (no corrections)**: -0.135 Ha/atom
**D(E_F)**: 0.240 states/eV per atom

Unit cell a=5.859 b=6.239 c=6.239 alpha=120.00 beta=90.00 gamma=90.00
Last column: magnetic moment on the atom in μB.
Fractional coordinates of all 10 atoms:
Rb 0.137 0.333 0.667  0.01
Rb 0.863 0.667 0.333  0.01
Ir 0.000 0.000 0.000  0.07
H 0.169 0.256 0.128  0.00
H 0.831 0.744 0.872  0.00
H 0.831 0.128 0.872  0.00
H 0.169 0.872 0.744  0.00
H 0.831 0.128 0.256  0.00
H 0.169 0.872 0.128  0.00
Ca 0.500 0.000 0.000  0.07